# 1
The following is a DFT calculation (PBE) of a relaxed structure of TbAlGaAu3.

Computed properties:
Total moment: 0.0 μB/f.u.
D(E_F): 3.5 states/eV/f.u.
Calculated formation energy: -362 meV per atom

Lattice parameters (Å, degrees): 5.8420 16.4628 5.8110 90.00 90.00 90.00
Closest atoms and distances in Å follow each position.
Space group Cmcm (No. 63)
One atom of each set of equivalent atoms:
Tb: 0.0000 0.1732 0.2500 (multiplicity 4)  2 Ga 3.13, 4 Au 3.15-3.21, 2 Al 3.20
Al: 0.0000 0.4064 0.7500 (multiplicity 4)  5 Au 2.48-2.58
Ga: 0.0000 0.1029 0.7500 (multiplicity 4)  5 Au 2.52-2.66
Au: 0.0000 0.2557 0.7500 (multiplicity 4)  1 Al 2.48, 1 Ga 2.52
Au: 0.2478 0.0000 0.0000 (multiplicity 8)  2 Al 2.58, 2 Ga 2.66

***

# 2
The following is a DFT calculation (PBE) of a relaxed structure of Y4ScRh.

Computed properties:
Total moment: 0.0 μB/f.u.
D(E_F): 8.7 states/eV/f.u.
Calculated formation energy: -229 meV per atom
Excess energy over the best structure of this formula in the dataset: 0.00 eV/f.u.

Lattice parameters (Å, degrees): 9.0140 12.9815 6.0247 90.00 107.44 90.00
Closest atoms and distances in Å follow each position.
Space group C2/c (No. 15)
One atom of each set of equivalent atoms:
Y: 0.1079 0.1706 0.0516 (multiplicity 8)  2 Rh 2.80-2.87
Y: 0.2158 0.4106 0.3658 (multiplicity 8)  2 Rh 3.09-3.11, 1 Sc 3.28
Sc: 0.0000 0.3815 0.7500 (multiplicity 4)  10 Y 3.27-3.66
Rh: 0.0000 0.0021 0.2500 (multiplicity 4)  8 Y 2.80-3.11, 2 Rh 3.01

***

# 3
The following is a DFT calculation (PBE) of a relaxed structure of Ca5Zn.

Computed properties:
Total moment: 0.0 μB/f.u.
D(E_F): 7.3 states/eV/f.u.
Calculated formation energy: -78 meV per atom
Excess energy over the best structure of this formula in the dataset: 0.00 eV/f.u.

Lattice parameters (Å, degrees): 3.7767 3.7767 15.2073 90.00 90.00 90.00
Closest atoms and distances in Å follow each position.
Space group P4/mmm (No. 123)
One atom of each set of equivalent atoms:
Ca: 0.0000 0.0000 0.0000 (multiplicity 1)  12 Ca 3.78-3.95
Ca: 0.0000 0.0000 0.3838 (multiplicity 2)  4 Zn 3.20, 1 Ca 3.54
Ca: 0.5000 0.5000 0.1911 (multiplicity 2)  12 Ca 3.78-3.96
Zn: 0.5000 0.5000 0.5000 (multiplicity 1)  8 Ca 3.20

***

# 4
The following is a DFT calculation (PBE) of a relaxed structure of Ac3Pm8Sm2.

Computed properties:
Total moment: 0.0 μB/f.u.
D(E_F): 22.4 states/eV/f.u.
Calculated formation energy: 262 meV per atom

Lattice parameters (Å, degrees): 8.1228 20.9907 5.8305 90.00 90.00 90.00
Closest atoms and distances in Å follow each position.
Space group Cmmm (No. 65)
One atom of each set of equivalent atoms:
Ac: 0.0000 0.0000 0.0000 (multiplicity 2)  4 Pm 3.40, 4 Ac 3.74
Ac: 0.2123 0.5000 0.5000 (multiplicity 4)  3 Ac 3.45-3.74, 6 Pm 3.69-3.76
Pm: 0.0000 0.1362 0.5000 (multiplicity 4)  2 Sm 3.63, 2 Ac 3.69, 5 Pm 3.82-3.90
Pm: 0.0000 0.3218 0.5000 (multiplicity 4)  2 Sm 3.39, 4 Pm 3.61
Pm: 0.2016 0.3867 0.0000 (multiplicity 8)  3 Pm 3.28-3.61, 1 Ac 3.40, 2 Sm 3.50-3.59
Sm: 0.0000 0.2396 0.0000 (multiplicity 4)  8 Pm 3.39-3.63

***

# 5
The following is a DFT calculation (PBE) of a relaxed structure of LaTb12Y3.

Computed properties:
Total moment: 0.0 μB/f.u.
D(E_F): 22.5 states/eV/f.u.
Calculated formation energy: 22 meV per atom

Lattice parameters (Å, degrees): 5.0562 5.0562 20.2405 90.00 90.00 90.00
Closest atoms and distances in Å follow each position.
Space group P4/mmm (No. 123)
One atom of each set of equivalent atoms:
La: 0.0000 0.0000 0.0000 (multiplicity 1)  12 Tb 3.58-3.61
Tb: 0.0000 0.5000 0.1273 (multiplicity 4)  2 Y 3.56, 8 Tb 3.58-3.61, 2 La 3.61
Tb: 0.0000 0.5000 0.3757 (multiplicity 4)  8 Tb 3.55-3.58, 4 Y 3.57
Tb: 0.5000 0.5000 0.0000 (multiplicity 1)  4 La 3.58, 8 Tb 3.61
Tb: 0.5000 0.5000 0.2523 (multiplicity 2)  8 Tb 3.55-3.58, 4 Y 3.58
Tb: 0.5000 0.5000 0.5000 (multiplicity 1)  8 Tb 3.57, 4 Y 3.58
Y: 0.0000 0.0000 0.2509 (multiplicity 2)  12 Tb 3.56-3.58
Y: 0.0000 0.0000 0.5000 (multiplicity 1)  12 Tb 3.57-3.58

***

# 6
The following is a DFT calculation (PBE) of a relaxed structure of Pm3InSi2Pt9.

Computed properties:
Total moment: 0.0 μB/f.u.
Total DFT energy (no corrections): -6.254 eV/atom
D(E_F): 6.3 states/eV/f.u.

Lattice parameters (Å, degrees): 5.7319 5.7319 11.0955 90.00 90.00 120.00
Closest atoms and distances in Å follow each position.
Space group P-3m1 (No. 164)
One atom of each set of equivalent atoms:
Pm: 0.0000 0.0000 0.0000 (multiplicity 1)  6 Pt 2.87
Pm: 0.3333 0.6667 0.6024 (multiplicity 2)  6 Pt 3.04
In: 0.0000 0.0000 0.5000 (multiplicity 1)  6 Pt 2.70
Si: 0.3333 0.6667 0.1571 (multiplicity 2)  6 Pt 2.35-2.40
Pt: 0.0000 0.5000 0.0000 (multiplicity 3)  2 Si 2.40
Pt: 0.1639 0.3278 0.3054 (multiplicity 6)  1 Si 2.35

***

# 7
The following is a DFT calculation (PBE) of a relaxed structure of NbH4Pd4.

Computed properties:
Total moment: 0.0 μB/f.u.
Total DFT energy (no corrections): -5.055 eV/atom
D(E_F): 3.8 states/eV/f.u.

Lattice parameters (Å, degrees): 10.0242 3.0844 7.1794 90.00 122.54 90.00
Closest atoms and distances in Å follow each position.
Space group C2/m (No. 12)
One atom of each set of equivalent atoms:
Nb: 0.0000 0.0000 0.0000 (multiplicity 2)  6 H 1.99-2.11
H: 0.0055 0.0000 0.2976 (multiplicity 4)  3 Pd 1.79
H: 0.1244 0.5000 0.1904 (multiplicity 4)  2 Pd 1.76-1.78
Pd: 0.1050 0.5000 0.4228 (multiplicity 4)  3 H 1.78-1.79
Pd: 0.2028 0.0000 0.8155 (multiplicity 4)  2 H 1.76-1.79

***

# 8
The following is a DFT calculation (PBE) of a relaxed structure of Co2CuOs.

Computed properties:
Total moment: 3.4 μB/f.u.
D(E_F): 5.5 states/eV/f.u.
Calculated formation energy: 354 meV per atom
Excess energy over the best structure of this formula in the dataset: 0.79 eV/f.u.

Lattice parameters (Å, degrees): 2.7043 4.3625 8.5585 90.00 90.00 90.00
Closest atoms and distances in Å follow each position.
Space group Cmmm (No. 65)
One atom of each set of equivalent atoms:
Co: 0.0000 0.0000 0.2467 (multiplicity 4)  2 Cu 2.51, 2 Os 2.56, 6 Co 2.57-2.70
Cu: 0.0000 0.5000 0.0000 (multiplicity 2)  4 Co 2.51, 6 Cu 2.57-2.70
Os: 0.0000 0.5000 0.5000 (multiplicity 2)  4 Co 2.56, 6 Os 2.57-2.70

***

# 9
The following is a DFT calculation (PBE) of a relaxed structure of Sr2PaSbN2.

Computed properties:
Total moment: 0.0 μB/f.u.
Total DFT energy (no corrections): -6.872 eV/atom

Lattice parameters (Å, degrees): 4.4457 4.4457 6.9144 90.00 90.00 90.00
Closest atoms and distances in Å follow each position.
Space group P4/mmm (No. 123)
One atom of each set of equivalent atoms:
Sr: 0.0000 0.0000 0.2462 (multiplicity 2)  4 N 2.83
Pa: 0.5000 0.5000 0.5000 (multiplicity 1)  4 N 2.22
Sb: 0.5000 0.5000 0.0000 (multiplicity 1)  2 Pa 3.46, 8 Sr 3.57
N: 0.0000 0.5000 0.5000 (multiplicity 2)  2 Pa 2.22

***

# 10
The following is a DFT calculation (PBE) of a relaxed structure of NaMgHg4.

Computed properties:
Total moment: 0.0 μB/f.u.
D(E_F): 2.0 states/eV/f.u.
Calculated formation energy: -169 meV per atom
Excess energy over the best structure of this formula in the dataset: 0.00 eV/f.u.

Lattice parameters (Å, degrees): 10.4156 3.5687 8.2777 90.00 111.98 90.00
Closest atoms and distances in Å follow each position.
Space group C2/m (No. 12)
One atom of each set of equivalent atoms:
Na: 0.0000 0.0000 0.0000 (multiplicity 2)  10 Hg 3.19-3.22, 2 Na 3.57
Mg: 0.0000 0.0000 0.5000 (multiplicity 2)  10 Hg 3.04-3.31
Hg: 0.1574 0.5000 0.3405 (multiplicity 4)  3 Mg 3.04-3.31, 5 Hg 3.16-3.18, 2 Na 3.22
Hg: 0.1699 0.5000 0.8245 (multiplicity 4)  2 Mg 3.16, 5 Hg 3.16-3.28, 3 Na 3.19-3.22

***

# 11
The following is a DFT calculation (PBE) of a relaxed structure of La2In2I.

Computed properties:
Total moment: 0.0 μB/f.u.
Total DFT energy (no corrections): -3.838 eV/atom
D(E_F): 5.0 states/eV/f.u.

Lattice parameters (Å, degrees): 9.2207 9.2207 3.9185 90.00 90.00 90.00
Closest atoms and distances in Å follow each position.
Space group P4/mbm (No. 127)
One atom of each set of equivalent atoms:
La: 0.1863 0.3137 0.0000 (multiplicity 4)  6 In 3.29-3.44
In: 0.1108 0.6108 0.5000 (multiplicity 4)  1 In 2.89
I: 0.0000 0.0000 0.5000 (multiplicity 2)  4 In 3.73, 8 La 3.89, 2 I 3.92

***

# 12
The following is a DFT calculation (PBE) of a relaxed structure of Hg2PdPt2.

Computed properties:
Total moment: 0.0 μB/f.u.
D(E_F): 2.1 states/eV/f.u.
Calculated formation energy: 184 meV per atom
Excess energy over the best structure of this formula in the dataset: 0.64 eV/f.u.

Lattice parameters (Å, degrees): 7.9256 7.9256 3.0207 90.00 90.00 90.00
Closest atoms and distances in Å follow each position.
Space group P4/mbm (No. 127)
One atom of each set of equivalent atoms:
Hg: 0.1712 0.3288 0.0000 (multiplicity 4)  6 Pt 2.72-2.83, 2 Pd 2.94, 2 Hg 3.02
Pd: 0.0000 0.0000 0.0000 (multiplicity 2)  4 Hg 2.94, 2 Pd 3.02
Pt: 0.1270 0.6270 0.5000 (multiplicity 4)  6 Hg 2.72-2.83, 3 Pt 2.85-3.02

***

Q: The highest total moment belongs to which entry?
A: Co2CuOs